1.
Na2VPO6: relaxed, GGA-PBEsol.

Total energy   -7.23 eV/atom
Excess energy over the best structure of this formula in the dataset   10 meV/atom
Uncorrected formation energy   -2.2624 eV/atom
N(E_F)   0.0 states/eV/cell

Unit cell a=4.8645 b=8.9099 c=11.4658 alpha=90.00 beta=90.00 gamma=90.00
With the nearest neighbours (Å) after each atom.
Fractional positions:
Na 0.0159 0.3349 0.0788  4 O 2.22-2.36
P 0.4369 0.8053 0.7243  4 O 1.52-1.58
O 0.2467 0.3264 0.7761  1 P 1.52
O 0.2894 0.8144 0.6020  1 P 1.58
O 0.6385 0.1466 0.2256  1 P 1.57
V 0.4494 0.9990 0.1297  2 O 1.63-1.64
O 0.3409 0.4657 0.9793  1 V 1.64
O 0.7106 0.3144 0.3980  1 P 1.58
Na 0.0329 0.1267 0.3805  5 O 2.24-2.46
O 0.7533 0.8264 0.2239  1 P 1.52
O 0.2751 0.9322 0.7875  1 P 1.56
O 0.2533 0.3264 0.2761  1 P 1.52
O 0.7249 0.4322 0.2125  1 P 1.56
O 0.7751 0.4322 0.7125  1 P 1.56
P 0.5631 0.3053 0.2757  4 O 1.52-1.58
O 0.7894 0.3144 0.8980  1 P 1.58
V 0.9494 0.4990 0.3703  2 O 1.63-1.64
Na 0.9671 0.6267 0.6195  5 O 2.24-2.46
O 0.8615 0.1466 0.7256  1 P 1.57
V 0.0506 0.9990 0.6297  2 O 1.63-1.64
O 0.2106 0.8144 0.1020  1 P 1.58
O 0.2304 0.1147 0.0704  1 V 1.63
O 0.2696 0.1147 0.5704  1 V 1.63
O 0.8409 0.9657 0.5207  1 V 1.64
P 0.9369 0.3053 0.7757  4 O 1.52-1.58
O 0.1591 0.4657 0.4793  1 V 1.64
Na 0.4841 0.3349 0.5788  4 O 2.22-2.36
Na 0.5329 0.6267 0.1195  5 O 2.24-2.46
O 0.7467 0.8264 0.7239  1 P 1.52
P 0.0631 0.8053 0.2243  4 O 1.52-1.58
V 0.5506 0.4990 0.8703  2 O 1.63-1.64
O 0.7304 0.6147 0.4296  1 V 1.63
O 0.1385 0.6466 0.2744  1 P 1.57
Na 0.9841 0.8349 0.9212  4 O 2.22-2.36
O 0.6591 0.9657 0.0207  1 V 1.64
O 0.3615 0.6466 0.7744  1 P 1.57
Na 0.4671 0.1267 0.8805  5 O 2.24-2.46
Na 0.5159 0.8349 0.4212  4 O 2.22-2.36
O 0.2249 0.9322 0.2875  1 P 1.56
O 0.7696 0.6147 0.9296  1 V 1.63



2.
NaVPO5: relaxed, GGA-PBEsol.

Total energy   -7.66 eV/atom
Excess energy over the best structure of this formula in the dataset   44 meV/atom
Uncorrected formation energy   -2.2806 eV/atom

Unit cell a=6.2385 b=6.2379 c=10.6544 alpha=90.00 beta=90.00 gamma=90.00
With the nearest neighbours (Å) after each atom.
Fractional positions:
O 0.2546 0.5535 0.9138  1 P 1.55
O 0.7454 0.0535 0.0862  1 P 1.55
O 0.7500 0.7528 0.3776  1 V 1.61
Na 0.9999 0.0028 0.7500  6 O 2.34-2.59
O 0.7546 0.0535 0.5862  1 P 1.55
O 0.2547 0.9526 0.4138  1 P 1.55
Na 0.0001 0.5028 0.2500  6 O 2.34-2.59
P 0.2500 0.7531 0.5000  4 O 1.55
V 0.7500 0.7530 0.5284  1 O 1.61
O 0.0505 0.7484 0.0862  1 P 1.55
O 0.7500 0.7528 0.8776  1 V 1.61
V 0.2500 0.2530 0.9716  1 O 1.61
O 0.2500 0.2528 0.6224  1 V 1.61
O 0.7453 0.4526 0.5862  1 P 1.55
O 0.9495 0.2577 0.4139  1 P 1.55
O 0.9495 0.2484 0.9138  1 P 1.55
O 0.2500 0.2528 0.1224  1 V 1.61
O 0.2453 0.9526 0.9138  1 P 1.55
O 0.5505 0.2484 0.4138  1 P 1.55
O 0.7547 0.4526 0.0862  1 P 1.55
Na 0.4999 0.5028 0.7500  6 O 2.34-2.59
V 0.7500 0.7530 0.0284  1 O 1.61
O 0.0505 0.7577 0.5861  1 P 1.55
O 0.4495 0.7484 0.5862  1 P 1.55
P 0.7500 0.2531 0.0000  4 O 1.55
P 0.7500 0.2531 0.5000  4 O 1.55
O 0.4495 0.7577 0.0861  1 P 1.55
Na 0.5001 0.0028 0.2500  6 O 2.34-2.59
V 0.2500 0.2530 0.4716  1 O 1.61
O 0.2454 0.5535 0.4138  1 P 1.55
O 0.5505 0.2577 0.9139  1 P 1.55
P 0.2500 0.7531 0.0000  4 O 1.55



3.
NaVP2O7: relaxed, GGA-PBEsol.

Total energy   -7.66 eV/atom
Uncorrected formation energy   -2.2621 eV/atom
N(E_F)   12.4 states/eV/cell

Unit cell a=4.8442 b=7.1039 c=8.0745 alpha=90.00 beta=90.00 gamma=106.93
With the nearest neighbours (Å) after each atom.
Fractional positions:
O 0.5711 0.2160 0.8585  2 P 1.62-1.63
P 0.7736 0.3841 0.7394  4 O 1.51-1.62
P 0.3878 0.9924 0.8084  4 O 1.52-1.63
O 0.7302 0.9994 0.1344  1 P 1.52
O 0.4121 0.1384 0.3143  1 P 1.53
O 0.4031 0.5942 0.0861  1 P 1.54
Na 0.7900 0.7599 0.5800  5 O 2.30-2.54
O 0.2698 0.0006 0.6344  1 P 1.52
P 0.6122 0.0076 0.3084  4 O 1.52-1.63
Na 0.2100 0.2401 0.0800  5 O 2.30-2.54
O 0.8438 0.0519 0.4420  1 P 1.52
O 0.1562 0.9481 0.9420  1 P 1.52
V 0.7783 0.7669 0.0042  6 O 1.97-2.03
O 0.8494 0.5697 0.8431  1 P 1.51
O 0.1506 0.4303 0.3431  1 P 1.51
O 0.4289 0.7840 0.3585  2 P 1.62-1.63
O 0.0378 0.3190 0.6968  1 P 1.52
O 0.9622 0.6810 0.1968  1 P 1.52
O 0.5879 0.8616 0.8143  1 P 1.53
P 0.2264 0.6159 0.2394  4 O 1.51-1.62
V 0.2217 0.2331 0.5042  6 O 1.97-2.03
O 0.5969 0.4058 0.5861  1 P 1.54



4.
Na3V2P3O12: relaxed, GGA-PBEsol.

Total energy   -7.45 eV/atom
Excess energy over the best structure of this formula in the dataset   0 meV/atom
Uncorrected formation energy   -2.2612 eV/atom
N(E_F)   20.5 states/eV/cell

Unit cell a=8.7451 b=8.7451 c=8.7844 alpha=59.74 beta=59.74 gamma=60.34
With the nearest neighbours (Å) after each atom.
Fractional positions:
O 0.1314 0.0177 0.0743  1 P 1.55
O 0.7291 0.5824 0.2553  1 P 1.54
V 0.8526 0.3590 0.4365  6 O 1.92-2.04
O 0.5285 0.7979 0.0554  1 P 1.54
O 0.9823 0.8686 0.4257  1 P 1.55
Na 0.0000 0.5000 0.0000  6 O 2.40-2.46
O 0.7803 0.0631 0.2329  1 P 1.54
Na 0.5000 0.0000 0.5000  6 O 2.40-2.46
P 0.0431 0.9569 0.7500  4 O 1.54-1.55
O 0.4715 0.2021 0.9446  1 P 1.54
O 0.5637 0.9141 0.2470  1 P 1.57
O 0.0177 0.1314 0.5743  1 P 1.55
P 0.7467 0.5462 0.7428  4 O 1.53-1.57
O 0.9369 0.2197 0.2671  1 P 1.54
P 0.5462 0.7467 0.2428  4 O 1.53-1.57
O 0.0859 0.4363 0.2530  1 P 1.57
Na 0.8909 0.7508 0.2441  6 O 2.37-2.53
O 0.2197 0.9369 0.7671  1 P 1.54
O 0.0631 0.7803 0.7329  1 P 1.54
P 0.9569 0.0431 0.2500  4 O 1.54-1.55
O 0.2876 0.6307 0.0935  1 P 1.53
Na 0.7508 0.8909 0.7441  6 O 2.37-2.53
O 0.6307 0.2876 0.5935  1 P 1.53
P 0.2533 0.4538 0.2572  4 O 1.53-1.57
O 0.2021 0.4715 0.4446  1 P 1.54
Na 0.1091 0.2492 0.7559  6 O 2.37-2.53
Na 0.2492 0.1091 0.2559  6 O 2.37-2.53
V 0.6410 0.1474 0.0635  6 O 1.92-2.04
O 0.9141 0.5637 0.7470  1 P 1.57
O 0.4176 0.2709 0.2447  1 P 1.54
O 0.3693 0.7124 0.4065  1 P 1.53
V 0.1474 0.6410 0.5635  6 O 1.92-2.04
O 0.2709 0.4176 0.7447  1 P 1.54
O 0.7124 0.3693 0.9065  1 P 1.53
O 0.7979 0.5285 0.5554  1 P 1.54
O 0.8686 0.9823 0.9257  1 P 1.55
P 0.4538 0.2533 0.7572  4 O 1.53-1.57
O 0.5824 0.7291 0.7553  1 P 1.54
O 0.4363 0.0859 0.7530  1 P 1.57
V 0.3590 0.8526 0.9365  6 O 1.92-2.04



5.
NaP2W7O25: relaxed, GGA-PBEsol.

Total energy   -9.08 eV/atom
Uncorrected formation energy   -2.1943 eV/atom
N(E_F)   2.6 states/eV/cell

Unit cell a=5.3421 b=6.6183 c=13.8415 alpha=96.32 beta=100.81 gamma=90.14
With the nearest neighbours (Å) after each atom.
Fractional positions:
O 0.8164 0.5311 0.1805  2 W 1.83-1.96
W 0.8928 0.6052 0.7749  6 O 1.84-2.05
O 0.4126 0.2561 0.2927  2 W 1.83-2.01
O 0.2658 0.7494 0.5262  1 P 1.55
O 0.7993 0.8326 0.0606  2 W 1.86-1.90
O 0.6073 0.8995 0.2284  2 W 1.80-1.98
Na 0.2566 0.3399 0.4735  3 O 2.41-2.66
O 0.0788 0.1117 0.5932  1 P 1.54
O 0.8250 0.4090 0.6474  1 P 1.53
W 0.4459 0.3034 0.8888  6 O 1.87-1.97
W 0.9992 0.9992 0.9990  6 O 1.90-1.96
O 0.9186 0.2282 0.3028  2 W 1.83-2.02
P 0.1902 0.7955 0.4171  4 O 1.54-1.55
O 0.6068 0.0627 0.6077  1 P 1.53
O 0.9413 0.8054 0.8803  2 W 1.84-1.94
P 0.8106 0.2030 0.5846  4 O 1.53-1.56
O 0.1771 0.5864 0.3558  1 P 1.54
O 0.5843 0.7421 0.7095  2 W 1.81-2.00
O 0.2934 0.8558 0.0510  2 W 1.87-1.90
O 0.1993 0.1664 0.9383  2 W 1.87-1.90
W 0.5533 0.6958 0.1097  6 O 1.86-1.98
O 0.6895 0.4446 0.8301  2 W 1.84-1.95
O 0.7050 0.1420 0.9478  2 W 1.87-1.90
O 0.5002 0.4987 0.0000  2 W 1.87-1.88
O 0.9284 0.8960 0.4022  1 P 1.54
O 0.3121 0.5541 0.1704  2 W 1.83-1.95
O 0.3899 0.1018 0.7702  2 W 1.81-1.97
O 0.7251 0.2483 0.4749  1 P 1.56
O 0.0574 0.1936 0.1192  2 W 1.83-1.96
O 0.3927 0.9387 0.3941  1 P 1.54
W 0.1064 0.3936 0.2236  5 O 1.83-2.02
W 0.3374 0.9128 0.6633  3 O 1.81-1.82
O 0.0820 0.7752 0.6996  2 W 1.82-2.01
W 0.6631 0.0823 0.3368  3 O 1.80-1.83
O 0.1851 0.4701 0.8194  2 W 1.84-1.95



6.
NaYP4O12: relaxed, GGA-PBEsol.

Total energy   -7.71 eV/atom
Uncorrected formation energy   -2.4671 eV/atom
N(E_F)   0.0 states/eV/cell

Unit cell a=7.1722 b=9.7130 c=13.0379 alpha=90.00 beta=90.00 gamma=89.37
With the nearest neighbours (Å) after each atom.
Fractional positions:
Y 0.0126 0.5225 0.7201  8 O 2.29-2.43
P 0.2329 0.2033 0.4074  4 O 1.50-1.61
O 0.8670 0.3534 0.8109  1 P 1.49
O 0.9088 0.2981 0.1670  1 P 1.51
P 0.3735 0.7356 0.6158  4 O 1.49-1.61
O 0.3253 0.1505 0.1335  1 P 1.49
O 0.1747 0.3495 0.6335  1 P 1.49
O 0.7875 0.4073 0.6121  1 P 1.50
Na 0.5000 0.5622 0.2767  5 O 2.36-2.54
O 0.7735 0.8939 0.2888  1 P 1.50
O 0.7350 0.9155 0.6639  1 P 1.50
P 0.7501 0.2559 0.6038  4 O 1.50-1.60
O 0.2265 0.1061 0.7112  1 P 1.50
O 0.4153 0.2971 0.4184  2 P 1.61
Y 0.9874 0.4775 0.2799  8 O 2.29-2.43
O 0.2181 0.1373 0.5205  2 P 1.60-1.61
O 0.2058 0.8987 0.1499  1 P 1.50
O 0.2806 0.7900 0.5127  2 P 1.59-1.60
O 0.2819 0.3627 0.0205  2 P 1.60-1.61
O 0.5706 0.7977 0.1131  1 P 1.50
O 0.4300 0.6626 0.8725  2 P 1.60-1.61
O 0.7650 0.5845 0.1639  1 P 1.50
P 0.8735 0.2356 0.8842  4 O 1.49-1.61
P 0.1486 0.1973 0.6286  4 O 1.49-1.61
O 0.2350 0.4155 0.8361  1 P 1.50
O 0.7942 0.1013 0.8501  1 P 1.50
O 0.2735 0.3939 0.2112  1 P 1.50
O 0.3670 0.8534 0.6891  1 P 1.49
P 0.2501 0.7559 0.8962  4 O 1.50-1.60
P 0.6265 0.2644 0.3842  4 O 1.49-1.61
O 0.5912 0.2019 0.6670  1 P 1.51
Na 0.0000 0.9378 0.7767  5 O 2.36-2.54
O 0.6747 0.8495 0.8665  1 P 1.49
P 0.3514 0.3027 0.1286  4 O 1.49-1.61
O 0.2125 0.5927 0.3879  1 P 1.50
O 0.1330 0.6466 0.1891  1 P 1.49
P 0.1265 0.7644 0.1158  4 O 1.49-1.61
O 0.2875 0.9073 0.8879  1 P 1.50
O 0.5700 0.3374 0.1275  2 P 1.60-1.61
O 0.9300 0.1626 0.6275  2 P 1.60-1.61
O 0.6330 0.1466 0.3109  1 P 1.49
O 0.4088 0.7981 0.3330  1 P 1.51
O 0.7058 0.3987 0.3501  1 P 1.50
P 0.7499 0.2441 0.1038  4 O 1.50-1.60
O 0.7819 0.8627 0.4795  2 P 1.60-1.61
Y 0.4874 0.9775 0.2201  8 O 2.29-2.43
O 0.7125 0.0927 0.1121  1 P 1.50
O 0.0847 0.2029 0.9184  2 P 1.61
O 0.7265 0.6061 0.7888  1 P 1.50
O 0.7181 0.6373 0.9795  2 P 1.60-1.61
P 0.2499 0.7441 0.3962  4 O 1.50-1.60
O 0.0706 0.2977 0.3869  1 P 1.50
O 0.7806 0.2900 0.9873  2 P 1.59-1.60
Na 0.5000 0.4378 0.7233  5 O 2.36-2.54
O 0.8253 0.6505 0.3665  1 P 1.49
P 0.7671 0.7967 0.5926  4 O 1.50-1.61
Na 0.0000 0.0622 0.2233  5 O 2.36-2.54
O 0.0700 0.8374 0.3725  2 P 1.60-1.61
O 0.5847 0.7029 0.5816  2 P 1.61
O 0.4294 0.2023 0.8869  1 P 1.50
O 0.9153 0.7971 0.0816  2 P 1.61
O 0.7194 0.2100 0.4873  2 P 1.59-1.60
P 0.8514 0.8027 0.3714  4 O 1.49-1.61
O 0.2650 0.0845 0.3361  1 P 1.50
O 0.0912 0.7019 0.8330  1 P 1.51
P 0.6486 0.6973 0.8714  4 O 1.49-1.61
P 0.7329 0.7033 0.0926  4 O 1.50-1.61
O 0.2942 0.6013 0.6499  1 P 1.50
O 0.9294 0.7023 0.6131  1 P 1.50
Y 0.5126 0.0225 0.7799  8 O 2.29-2.43
P 0.2671 0.2967 0.9074  4 O 1.50-1.61
O 0.2194 0.7100 0.0127  2 P 1.59-1.60